Entry from the Alexandria database: VSb2Au after structural relaxation (PBE).

Cell: 3.3752 3.3752 27.0801 Å, 90.00 90.00 120.00°
Closest atoms and distances in Å follow each position.
Space group R-3m (No. 166, hexagonal axes)
Asymmetric unit:
V  0.0000  0.0000  0.0000 (multiplicity 3)  6 Sb 2.70
Sb  0.0000  0.0000  0.4022 (multiplicity 6)  1 Au 2.65, 3 V 2.70
Au  0.0000  0.0000  0.5000 (multiplicity 3)  2 Sb 2.65

## Properties
formation energy (no corrections): 0.01 eV/atom

Entry from the Alexandria database: MnTlOs2 after structural relaxation (PBE).

Cell: 2.8499 3.8395 6.0198 Å, 90.00 90.00 90.00°
Closest atoms and distances in Å follow each position.
Space group Pmm2 (No. 25)
Asymmetric unit:
Mn  0.0000  0.0000  0.0000 (multiplicity 1)  5 Os 2.52-2.77
Tl  0.5000  0.5000  0.7285 (multiplicity 1)  2 Tl 2.85, 4 Mn 2.90, 6 Os 2.98-3.04
Os  0.0000  0.0000  0.4184 (multiplicity 1)  1 Mn 2.52, 4 Os 2.64
Os  0.5000  0.5000  0.2340 (multiplicity 1)  6 Os 2.64-2.85, 4 Mn 2.77

## Properties
energy above the lowest structure with this stoichiometry: 0.076 eV/atom
energy relative to the elements: 560 meV/atom

Entry from the Alexandria database: Rb2TeCCl6 after structural relaxation (PBE).

Cell: 7.5749 7.5749 9.0939 Å, 90.00 90.00 90.00°
Closest atoms and distances in Å follow each position.
Space group I4/mmm (No. 139)
Asymmetric unit:
Rb  0.0000  0.5000  0.2500 (multiplicity 4)  12 Cl 3.51-3.80
Te  0.0000  0.0000  0.0000 (multiplicity 2)  6 Cl 2.52-2.76
C  0.0000  0.0000  0.5000 (multiplicity 2)  2 Cl 2.02
Cl  0.0000  0.0000  0.2773 (multiplicity 4)  1 C 2.02
Cl  0.2426  0.2426  0.5000 (multiplicity 8)  1 C 2.60, 1 Te 2.76

## Properties
formation energy (no corrections): -0.42 eV/atom

Entry from the Alexandria database: TaBe2Cu2 after structural relaxation (PBE).

Cell: 3.7722 3.7722 8.2819 Å, 90.00 90.00 90.00°
Closest atoms and distances in Å follow each position.
Space group I4/mmm (No. 139)
Asymmetric unit:
Ta  0.0000  0.0000  0.0000 (multiplicity 2)  8 Be 2.80, 10 Cu 2.89-3.03
Be  0.0000  0.5000  0.2500 (multiplicity 4)  4 Cu 2.12
Cu  0.0000  0.0000  0.3664 (multiplicity 4)  4 Be 2.12, 1 Cu 2.21

## Properties
energy above the lowest structure with this stoichiometry: 0.104 eV/atom
energy relative to the elements: 146 meV/atom